Entry from Alexandria: NaSi2Rh after structural relaxation (PBE).

- Raw total energy: -4.911 eV/atom
- D(E_F): 1.7 states/eV/f.u.

Cell: 6.1610 6.1610 6.1610 Å, 90.00 90.00 90.00°
With the nearest neighbours (Å) after each atom.
Sites, in units of the cell vectors:
Na1 0.0000 0.0000 0.0000  8 Si 2.67
Na2 0.0000 0.5000 0.5000  8 Si 2.67
Na3 0.5000 0.0000 0.5000  8 Si 2.67
Na4 0.5000 0.5000 0.0000  8 Si 2.67
Si1 0.2500 0.2500 0.2500  4 Rh 2.67, 4 Na 2.67
Si2 0.2500 0.2500 0.7500  4 Na 2.67, 4 Rh 2.67
Si3 0.2500 0.7500 0.2500  4 Na 2.67, 4 Rh 2.67
Si4 0.2500 0.7500 0.7500  4 Rh 2.67, 4 Na 2.67
Si5 0.7500 0.2500 0.2500  4 Na 2.67, 4 Rh 2.67
Si6 0.7500 0.2500 0.7500  4 Rh 2.67, 4 Na 2.67
Si7 0.7500 0.7500 0.2500  4 Na 2.67, 4 Rh 2.67
Si8 0.7500 0.7500 0.7500  4 Na 2.67, 4 Rh 2.67
Rh1 0.0000 0.0000 0.5000  8 Si 2.67
Rh2 0.0000 0.5000 0.0000  8 Si 2.67
Rh3 0.5000 0.0000 0.0000  8 Si 2.67
Rh4 0.5000 0.5000 0.5000  8 Si 2.67

Entry from Alexandria: NaSi2Rh after structural relaxation (PBE).

- Raw total energy: -5.133 eV/atom
- D(E_F): 2.3 states/eV/f.u.

Cell: 4.0979 4.0979 16.0854 Å, 90.00 90.00 120.00°
With the nearest neighbours (Å) after each atom.
Sites, in units of the cell vectors:
Na1 0.0000 0.0000 0.0000  8 Si 3.19-3.22, 6 Rh 3.58
Na2 0.3333 0.6667 0.6667  8 Si 3.19-3.22, 6 Rh 3.58
Na3 0.6667 0.3333 0.3333  8 Si 3.19-3.22, 6 Rh 3.58
Si1 0.0000 0.0000 0.2001  3 Rh 2.43, 3 Si 2.60
Si2 0.0000 0.0000 0.7999  3 Rh 2.43, 3 Si 2.60
Si3 0.3333 0.6667 0.4666  3 Rh 2.43, 3 Si 2.60
Si4 0.3333 0.6667 0.8667  3 Rh 2.43, 3 Si 2.60
Si5 0.6667 0.3333 0.1333  3 Rh 2.43, 3 Si 2.60
Si6 0.6667 0.3333 0.5334  3 Rh 2.43, 3 Si 2.60
Rh1 0.0000 0.0000 0.5000  6 Si 2.43
Rh2 0.3333 0.6667 0.1667  6 Si 2.43
Rh3 0.6667 0.3333 0.8333  6 Si 2.43

Entry from Alexandria: NaSi3Rh after structural relaxation (PBE).

- Raw total energy: -4.638 eV/atom
- D(E_F): 4.9 states/eV/f.u.

Cell: 4.7044 4.7044 4.7044 Å, 90.00 90.00 90.00°
With the nearest neighbours (Å) after each atom.
Sites, in units of the cell vectors:
Na1 0.0000 0.0000 0.0000  12 Si 3.33
Si1 0.0000 0.5000 0.5000  2 Rh 2.35
Si2 0.5000 0.0000 0.5000  2 Rh 2.35
Si3 0.5000 0.5000 0.0000  2 Rh 2.35
Rh1 0.5000 0.5000 0.5000  6 Si 2.35

Entry from Alexandria: Na2Si4Rh after structural relaxation (PBE).

- Raw total energy: -4.092 eV/atom
- D(E_F): 6.0 states/eV/f.u.

Cell: 4.4833 4.4833 17.4246 Å, 90.00 90.00 90.00°
With the nearest neighbours (Å) after each atom.
Sites, in units of the cell vectors:
Na1 0.0000 0.0000 0.1819  5 Si 3.08-3.25
Na2 0.0000 0.0000 0.8181  5 Si 3.08-3.25
Na3 0.5000 0.5000 0.3181  5 Si 3.08-3.25
Na4 0.5000 0.5000 0.6819  5 Si 3.08-3.25
Si1 0.0000 0.0000 0.3586  1 Rh 2.46
Si2 0.0000 0.0000 0.6414  1 Rh 2.46
Si3 0.0000 0.5000 0.0000  2 Rh 2.24
Si4 0.0000 0.5000 0.5000  2 Rh 2.24
Si5 0.5000 0.0000 0.0000  2 Rh 2.24
Si6 0.5000 0.0000 0.5000  2 Rh 2.24
Si7 0.5000 0.5000 0.1414  1 Rh 2.46
Si8 0.5000 0.5000 0.8586  1 Rh 2.46
Rh1 0.0000 0.0000 0.5000  6 Si 2.24-2.46
Rh2 0.5000 0.5000 0.0000  6 Si 2.24-2.46

Entry from Alexandria: NaSiRh after structural relaxation (PBE).

- Raw total energy: -5.245 eV/atom
- D(E_F): 0.1 states/eV/f.u.

Cell: 4.0938 4.0938 6.8292 Å, 90.00 90.00 90.00°
With the nearest neighbours (Å) after each atom.
Sites, in units of the cell vectors:
Na1 0.2500 0.2500 0.1483  5 Si 3.12-3.20, 4 Rh 3.16
Na2 0.7500 0.7500 0.8517  5 Si 3.12-3.20, 4 Rh 3.16
Si1 0.2500 0.2500 0.6798  4 Rh 2.39
Si2 0.7500 0.7500 0.3202  4 Rh 2.39
Rh1 0.2500 0.7500 0.5000  4 Si 2.39
Rh2 0.7500 0.2500 0.5000  4 Si 2.39

Entry from Alexandria: Na3SiRh after structural relaxation (PBE).

- Raw total energy: -2.413 eV/atom
- D(E_F): 2.7 states/eV/f.u.

Cell: 5.2092 5.2092 5.2092 Å, 90.00 90.00 90.00°
With the nearest neighbours (Å) after each atom.
Sites, in units of the cell vectors:
Na1 0.0000 0.0000 0.5000  2 Rh 2.60
Na2 0.0000 0.5000 0.0000  2 Rh 2.60
Na3 0.5000 0.0000 0.0000  2 Rh 2.60
Si1 0.5000 0.5000 0.5000  12 Na 3.68
Rh1 0.0000 0.0000 0.0000  6 Na 2.60

Entry from Alexandria: Na2SiRh after structural relaxation (PBE).

- Raw total energy: -3.637 eV/atom
- D(E_F): 2.2 states/eV/f.u.

Cell: 3.6432 3.6432 21.2816 Å, 90.00 90.00 90.00°
With the nearest neighbours (Å) after each atom.
Sites, in units of the cell vectors:
Na1 0.2482 0.2500 0.1250  4 Na 2.57-2.59
Na2 0.2500 0.7482 0.3750  4 Na 2.57-2.59
Na3 0.2500 0.7518 0.8750  4 Na 2.57-2.59
Na4 0.2518 0.2500 0.6250  4 Na 2.57-2.59
Na5 0.7482 0.7500 0.6250  4 Na 2.57-2.59
Na6 0.7500 0.2482 0.8750  4 Na 2.57-2.59
Na7 0.7500 0.2518 0.3750  4 Na 2.57-2.59
Na8 0.7518 0.7500 0.1250  4 Na 2.57-2.59
Si1 0.0000 0.0000 0.5000  4 Rh 2.58
Si2 0.0000 0.5000 0.7500  4 Rh 2.58
Si3 0.5000 0.0000 0.2500  4 Rh 2.58
Si4 0.5000 0.5000 0.0000  4 Rh 2.58
Rh1 0.0000 0.0000 0.0000  4 Si 2.58
Rh2 0.0000 0.5000 0.2500  4 Si 2.58
Rh3 0.5000 0.0000 0.7500  4 Si 2.58
Rh4 0.5000 0.5000 0.5000  4 Si 2.58

Entry from Alexandria: NaSiRh3 after structural relaxation (PBE).

- Raw total energy: -5.641 eV/atom
- D(E_F): 7.4 states/eV/f.u.

Cell: 4.4767 4.4767 4.4767 Å, 90.00 90.00 90.00°
With the nearest neighbours (Å) after each atom.
Sites, in units of the cell vectors:
Na1 0.0000 0.0000 0.0000  12 Rh 3.17
Si1 0.5000 0.5000 0.5000  6 Rh 2.24
Rh1 0.0000 0.5000 0.5000  2 Si 2.24
Rh2 0.5000 0.0000 0.5000  2 Si 2.24
Rh3 0.5000 0.5000 0.0000  2 Si 2.24

Entry from Alexandria: Na3SiRh after structural relaxation (PBE).

- Raw total energy: -2.313 eV/atom
- D(E_F): 11.7 states/eV/f.u.

Cell: 5.3701 5.3701 5.3701 Å, 90.00 90.00 90.00°
With the nearest neighbours (Å) after each atom.
Sites, in units of the cell vectors:
Na1 0.0000 0.0000 0.5000  2 Si 2.69
Na2 0.0000 0.5000 0.0000  2 Si 2.69
Na3 0.5000 0.0000 0.0000  2 Si 2.69
Si1 0.0000 0.0000 0.0000  6 Na 2.69
Rh1 0.5000 0.5000 0.5000  12 Na 3.80

Entry from Alexandria: NaSiRh3 after structural relaxation (PBE).

- Raw total energy: -4.133 eV/atom
- D(E_F): 4.1 states/eV/f.u.

Cell: 4.4339 4.4339 4.4339 Å, 90.00 90.00 90.00°
With the nearest neighbours (Å) after each atom.
Sites, in units of the cell vectors:
Na1 0.0000 0.0000 0.0000  6 Rh 2.22
Si1 0.5000 0.5000 0.5000  12 Rh 3.14
Rh1 0.0000 0.0000 0.5000  2 Na 2.22
Rh2 0.0000 0.5000 0.0000  2 Na 2.22
Rh3 0.5000 0.0000 0.0000  2 Na 2.22

Entry from Alexandria: NaSr2SiRh after structural relaxation (PBE).

- Raw total energy: -3.747 eV/atom
- D(E_F): 3.4 states/eV/f.u.

Cell: 5.9089 5.9089 4.6369 Å, 90.00 90.00 90.00°
With the nearest neighbours (Å) after each atom.
Sites, in units of the cell vectors:
Na1 0.0000 0.0000 0.0000  8 Sr 3.76, 4 Si 4.18
Sr1 0.0000 0.5000 0.5000  2 Rh 2.95
Sr2 0.5000 0.0000 0.5000  2 Rh 2.95
Si1 0.5000 0.5000 0.0000  2 Rh 2.32
Rh1 0.5000 0.5000 0.5000  2 Si 2.32

Entry from Alexandria: NaSi2TcRh after structural relaxation (PBE).

- Raw total energy: -3.898 eV/atom
- D(E_F): 4.9 states/eV/f.u.

Cell: 4.5945 4.5945 4.4289 Å, 90.00 90.00 90.00°
With the nearest neighbours (Å) after each atom.
Sites, in units of the cell vectors:
Na1 0.0000 0.0000 0.0000  2 Tc 2.21, 4 Si 2.30
Si1 0.0000 0.5000 0.0000  2 Na 2.30
Si2 0.5000 0.0000 0.0000  2 Na 2.30
Tc1 0.0000 0.0000 0.5000  2 Na 2.21
Rh1 0.5000 0.5000 0.5000  8 Si 3.19, 4 Tc 3.25